DFT (PBE with a Hubbard U) results for crystalline RbMg6CrO8 at its relaxed geometry.

Cell: 4.498 4.498 8.841 Å, 90.00 90.00 90.00°
Space group P4/mmm (No. 123)
One atom of each set of equivalent atoms:
Rb1 0.000 0.000 0.000 (multiplicity 1)
Mg1 0.000 0.000 0.500 (multiplicity 1)
Mg2 0.000 0.500 0.261 (multiplicity 4)
Mg3 0.500 0.500 0.500 (multiplicity 1)
Cr1 0.500 0.500 0.000 (multiplicity 1)
O1 0.000 0.000 0.281 (multiplicity 2)
O2 0.000 0.500 0.000 (multiplicity 2)
O3 0.000 0.500 0.500 (multiplicity 2)
O4 0.500 0.500 0.243 (multiplicity 2)

Computed properties:
Distance to the lowest polymorph of the same formula = 18 meV/atom
Magnetic moment = 3.82 μB per formula unit